Computed, not measured: an optimized crystal structure of Rb2LiPrCl6 at the PBEsol level of DFT.

The value obtained for the volume is 285.4 Å³/f.u. The raw formation energy comes out at -2.0543 eV/atom. For the raw total energy, the calculation gives -41.8 eV/f.u.

The structure belongs to space group Fm-3m (No. 225); the cell edges are 10.452, 10.452 and 10.452 Å and the angles 90.00°, 90.00° and 90.00°. The distinct sites, in fractional coordinates, are Rb at (0.250, 0.250, 0.250), Li at (0.000, 0.000, 0.000), Pr at (0.000, 0.000, 0.500) and Cl at (0.000, 0.000, 0.241).


Computed, not measured: an optimized crystal structure of NiRu2 at the PBEsol level of DFT.

The formation energy from the elements comes out at 74 meV/atom. The value obtained for the volume is 37.4 Å³/f.u. The calculation puts the energy relative to the lowest polymorph listed for this composition at 7 meV per atom. For the raw total energy, the calculation gives -26.3 eV/f.u.

The structure belongs to space group Cmcm (No. 63); the cell edges are 2.648, 13.462 and 4.194 Å and the angles 90.00°, 90.00° and 90.00°. The distinct sites, in fractional coordinates, are Ni at (0.000, 0.224, 0.250), Ru at (0.000, 0.115, 0.750) and Ru at (0.000, 0.443, 0.750).